CrAu: relaxed, PBE-GGA.

abc: 4.543 4.543 5.372
angles: 90.00 90.00 120.00
Site moments in Bohr magnetons follow the coordinates.
Fractional coordinates of all 4 atoms:
Cr  0.333  0.667  0.250  3.65
Cr  0.667  0.333  0.750  3.65
Au  0.667  0.333  0.250  0.10
Au  0.333  0.667  0.750  0.10

Summary:
The calculation puts the volume at 96 Å³ per cell. The symmetry is P6_3/mmc, No. 194. The total magnetic moment comes out at 4.2 μB per formula unit. The calculation puts the calculated density at 8.61 Mg/m³. The calculation puts the formation energy at 1.61 eV per formula unit. The density of states at the Fermi level is 1.94 states/eV/f.u.



Pr4Nd8Mg: relaxed, PBE-GGA.

abc: 11.811 11.811 7.873
angles: 90.00 138.60 120.00
Fractional coordinates of all 13 atoms:
Nd  0.329  0.164  0.995
Nd  0.831  0.164  0.995
Nd  0.517  0.758  0.275
Nd  0.831  0.666  0.995
Nd  0.169  0.334  0.005
Nd  0.671  0.836  0.005
Nd  0.483  0.242  0.725
Nd  0.169  0.836  0.005
Pr  0.500  0.500  0.000
Pr  0.000  0.500  0.000
Pr  0.500  0.000  0.000
Pr  0.000  0.000  0.000
Mg  0.000  0.500  0.500

Summary:
The calculation puts the volume at 475 Å³ per cell. The symmetry is R-3m, No. 166. The total magnetic moment comes out at 0.0 μB per formula unit. The calculation puts the calculated density at 6.08 Mg/m³. The calculation puts the formation energy at 4.94 eV per formula unit. The density of states at the Fermi level is 24.71 states/eV/f.u.



Sm2AsH: relaxed, PBE-GGA.

abc: 4.053 4.053 6.518
angles: 89.98 89.98 60.03
Site moments in Bohr magnetons follow the coordinates.
Fractional coordinates of all 4 atoms:
As  0.843  0.288  0.772  0.01
Sm  0.176  0.621  0.511  0.17
Sm  0.509  0.954  0.042  0.08
H  0.176  0.621  0.155  0.00

Summary:
The calculation puts the volume at 93 Å³ per cell. The symmetry is P3m1, No. 156. The total magnetic moment comes out at 0.7 μB per formula unit. The calculation puts the calculated density at 6.74 Mg/m³. The density of states at the Fermi level is 2.49 states/eV/f.u. The value obtained for the energy above the lowest structure with this stoichiometry is 0.000 eV per atom.



Mg2SbBr: relaxed, PBE-GGA.

abc: 3.311 3.311 10.020
angles: 90.00 90.00 90.00
Fractional coordinates of all 4 atoms:
Sb  0.000  0.000  0.444
Br  0.500  0.500  0.836
Mg  0.000  0.000  0.989
Mg  0.500  0.500  0.231

Summary:
The calculation puts the volume at 110 Å³ per cell. The symmetry is P4mm, No. 99. The total magnetic moment comes out at 0.0 μB per formula unit. The calculation puts the calculated density at 3.78 Mg/m³. The density of states at the Fermi level is 1.74 states/eV/f.u. The value obtained for the energy above the lowest structure with this stoichiometry is 0.292 eV per atom.